An optimized crystal structure of NdPaTe2, computed with GGA-PBE.

## Properties
The energy above the lowest structure with this stoichiometry is 428 meV per atom. The symmetry is R-3m, No. 166. The value obtained for the density is 7.220 g/cm³.

Cell lengths 4.030, 4.030, 10.568 Å; angles 79.01, 79.01, 60.00 degrees
Last column: magnetic moment on the atom in μB.
Positions (direct):
1 Te 0.101 0.101 0.698  -0.03
2 Te 0.899 0.899 0.302  -0.03
3 Nd 0.000 0.000 0.000  0.01
4 Pa 0.500 0.500 0.500  1.15